## TbCeHfN3 (PBE)

Data for an optimized crystal structure of TbCeHfN3.

Cell and atoms, written as POSCAR:
```
TbCeHfN3
1.0
-0.7333 -3.0936 0.8319
3.7525 -2.1384 -4.6442
7.0404 0.0810 6.5073
Tb N Ce Hf
2 6 2 2
Direct
0.7500 0.7877 0.4233
0.2500 0.2123 0.5767
0.2500 0.1340 0.8422
0.2500 0.8416 0.5876
0.2500 0.5977 0.8877
0.7500 0.1584 0.4124
0.7500 0.8660 0.1578
0.7500 0.4023 0.1123
0.7500 0.8360 0.7852
0.2500 0.1640 0.2148
0.2500 0.6548 0.1046
0.7500 0.3452 0.8954
```

Summary:
* SG: P2_1/m, No. 11
* total DFT energy (no corrections): -8.964 eV per atom
* energy relative to the elements, uncorrected: -1382 meV per atom